VASP calculation (PBE) on crystalline PrTePb2O6 at its relaxed geometry.

```
10
Lattice="-1.322 5.927 -0.899 -5.728 1.687 -1.424 -3.424 3.043 4.142" Properties=species:S:1:pos:R:3 pbc="T T T"
Pr -7.665 7.903 0.489
Te -2.399 2.561 -0.549
Pb -5.111 5.268 0.323
Pb -3.311 2.989 3.626
O -2.557 4.515 0.285
O -1.079 1.720 0.897
O -4.225 1.761 0.204
O -6.893 6.247 1.957
O -4.192 6.291 2.544
O -5.556 3.888 2.492
```

density of states at the Fermi level = 4.0 states/eV/cell
formation energy (no corrections) = -1.574 eV per atom
calculated total energy = -60.82 eV per cell
symmetry = R3, No. 146

=====

VASP calculation (PBE) on crystalline Pr2TiPbO6 at its relaxed geometry.

```
10
Lattice="-1.242 -5.089 1.767 0.763 -1.966 -5.127 5.348 -0.908 1.144" Properties=species:S:1:pos:R:3 pbc="T T T"
Pr -0.834 -5.966 -0.834
Pr 1.458 -5.436 2.302
Ti -0.753 -3.088 1.072
Pb 2.397 -4.137 -1.054
O 0.473 -4.433 0.402
O 3.380 -4.926 1.024
O 2.923 -1.978 -1.804
O -0.343 -1.406 0.488
O 3.795 -5.995 -1.763
O 0.888 -5.502 -2.385
```

density of states at the Fermi level = 0.0 states/eV/cell
formation energy (no corrections) = -2.627 eV per atom
calculated total energy = -77.18 eV per cell
symmetry = P4mm, No. 99

=====

VASP calculation (PBE) on crystalline Pr4TlPbO at its relaxed geometry.

```
14
Lattice="-0.640 -3.919 -5.515 2.291 -5.323 3.517 -8.052 -0.056 5.161" Properties=species:S:1:pos:R:3 pbc="T T T"
Pr -6.765 -4.980 0.136
Pr -5.558 -5.744 4.726
Pr 0.364 -4.318 3.026
Pr -0.843 -3.554 -1.564
Pr -3.200 -4.649 1.581
Pr -4.026 -0.028 2.581
Pr -4.346 -1.987 -0.177
Pr -2.880 -2.689 4.339
Tl -0.502 -6.409 0.425
Tl -5.899 -2.889 2.737
Pb -1.253 -1.770 1.403
Pb -5.148 -7.528 1.759
O -1.953 -4.876 3.691
O -4.448 -4.422 -0.529
```

density of states at the Fermi level = 10.7 states/eV/cell
formation energy (no corrections) = -1.075 eV per atom
calculated total energy = -75.35 eV per cell
symmetry = Cmcm, No. 63

=====

VASP calculation (PBE) on crystalline PrUPb2O8 at its relaxed geometry.

```
12
Lattice="-1.912 1.143 -4.737 -4.136 -3.077 0.906 -3.516 5.538 2.755" Properties=species:S:1:pos:R:3 pbc="T T T"
Pr -1.758 2.769 1.378
U 0.000 0.000 0.000
Pb -5.668 3.197 0.156
Pb -3.896 0.406 -1.232
O -4.495 -1.100 0.480
O -7.766 4.178 0.066
O -3.086 1.580 -3.110
O -5.069 4.704 -1.556
O -1.798 -0.574 -1.141
O -6.478 2.023 2.034
O -5.890 1.446 -1.236
O -3.675 2.158 0.160
```

density of states at the Fermi level = 2.7 states/eV/cell
formation energy (no corrections) = -2.127 eV per atom
calculated total energy = -88.67 eV per cell
symmetry = Cmmm, No. 65

=====

VASP calculation (PBE) on crystalline PrUPbO6 at its relaxed geometry.

```
9
Lattice="-1.996 0.340 4.374 3.900 -4.085 2.097 1.389 5.860 0.178" Properties=species:S:1:pos:R:3 pbc="T T T"
Pr 2.065 -0.600 3.644
U -0.998 0.170 2.187
Pb 2.226 2.545 0.818
O 2.277 1.488 4.779
O -0.289 -0.955 3.797
O 2.854 -2.103 5.321
O 1.019 0.610 1.874
O 2.205 -2.777 2.678
O 4.323 0.136 3.418
```

density of states at the Fermi level = 3.6 states/eV/cell
formation energy (no corrections) = -2.487 eV per atom
calculated total energy = -71.91 eV per cell
symmetry = P312, No. 149